Record 1
VASP calculation (PBE+U) on crystalline Tl2Ni4P4O15 at its relaxed geometry.

Summary:
total energy: -6.23 eV/atom
crystal system: monoclinic

a b c (Å): 8.7544 8.7544 18.4168
angles (deg): 97.98 97.98 106.22
Sites, in units of the cell vectors:
Tl1 0.0473 0.8518 0.5527
Tl2 0.0873 0.6103 0.7994
Tl3 0.1482 0.9527 0.9473
Tl4 0.3897 0.9127 0.7006
Tl5 0.6103 0.0873 0.2994
Tl6 0.8518 0.0473 0.0527
Tl7 0.9127 0.3897 0.2006
Tl8 0.9527 0.1482 0.4473
Ni1 0.0000 0.5000 0.0000
Ni2 0.0395 0.9605 0.2500
Ni3 0.2295 0.5866 0.4317
Ni4 0.3279 0.6721 0.2500
Ni5 0.3490 0.4612 0.9325
Ni6 0.4134 0.7705 0.0683
Ni7 0.4536 0.5464 0.7500
Ni8 0.4612 0.3490 0.4325
Ni9 0.5000 0.0000 0.5000
Ni10 0.5388 0.6510 0.5675
Ni11 0.5464 0.4536 0.2500
Ni12 0.5866 0.2295 0.9317
Ni13 0.6510 0.5388 0.0675
Ni14 0.6721 0.3279 0.7500
Ni15 0.7705 0.4134 0.5683
Ni16 0.9605 0.0395 0.7500
P1 0.0577 0.7277 0.1212
P2 0.1876 0.4871 0.5977
P3 0.2235 0.3401 0.3209
P4 0.2723 0.9423 0.3788
P5 0.2794 0.3978 0.0973
P6 0.3401 0.2235 0.8209
P7 0.3978 0.2794 0.5973
P8 0.4871 0.1876 0.0977
P9 0.5129 0.8124 0.9023
P10 0.6022 0.7206 0.4027
P11 0.6599 0.7765 0.1791
P12 0.7206 0.6022 0.9027
P13 0.7277 0.0577 0.6212
P14 0.7765 0.6599 0.6791
P15 0.8124 0.5129 0.4023
P16 0.9423 0.2723 0.8788
O1 0.0086 0.4460 0.5710
O2 0.0421 0.8992 0.1409
O3 0.0913 0.2031 0.2671
O4 0.1006 0.3681 0.0706
O5 0.1008 0.9579 0.3591
O6 0.1051 0.4044 0.9205
O7 0.1139 0.6732 0.1935
O8 0.1694 0.7179 0.0619
O9 0.2031 0.0913 0.7671
O10 0.2029 0.5095 0.3124
O11 0.2158 0.3394 0.4068
O12 0.2244 0.3116 0.5789
O13 0.2491 0.5511 0.6810
O14 0.2821 0.8306 0.4381
O15 0.2872 0.5990 0.5504
O16 0.3116 0.2244 0.0789
O17 0.3268 0.8861 0.3065
O18 0.3300 0.3978 0.8163
O19 0.3364 0.4604 0.1815
O20 0.3394 0.2158 0.9068
O21 0.3681 0.1006 0.5706
O22 0.3885 0.5079 0.0513
O23 0.3978 0.3300 0.3163
O24 0.4010 0.7128 0.9496
O25 0.4044 0.1051 0.4205
O26 0.4460 0.0086 0.0710
O27 0.4489 0.7509 0.8190
O28 0.4604 0.3364 0.6815
O29 0.4905 0.7971 0.1876
O30 0.4921 0.6115 0.4487
O31 0.5079 0.3885 0.5513
O32 0.5095 0.2029 0.8124
O33 0.5396 0.6636 0.3185
O34 0.5511 0.2491 0.1810
O35 0.5540 0.9914 0.9290
O36 0.5956 0.8949 0.5795
O37 0.5990 0.2872 0.0504
O38 0.6022 0.6700 0.6837
O39 0.6115 0.4921 0.9487
O40 0.6319 0.8994 0.4294
O41 0.6606 0.7842 0.0932
O42 0.6636 0.5396 0.8185
O43 0.6700 0.6022 0.1837
O44 0.6732 0.1139 0.6935
O45 0.6884 0.7756 0.9211
O46 0.7128 0.4010 0.4496
O47 0.7179 0.1694 0.5619
O48 0.7509 0.4489 0.3190
O49 0.7756 0.6884 0.4211
O50 0.7842 0.6606 0.5932
O51 0.7971 0.4905 0.6876
O52 0.7969 0.9087 0.2329
O53 0.8306 0.2821 0.9381
O54 0.8861 0.3268 0.8065
O55 0.8949 0.5956 0.0795
O56 0.8992 0.0421 0.6409
O57 0.8994 0.6319 0.9294
O58 0.9087 0.7969 0.7329
O59 0.9579 0.1008 0.8591
O60 0.9914 0.5540 0.4290

Record 2
VASP calculation (PBE+U) on crystalline TlNiP2O at its relaxed geometry.

Summary:
energy above the most stable polymorph in this dataset: 0.00 kcal/mol of atoms
crystal system: tetragonal

a b c (Å): 4.7891 4.7891 3.5501
angles (deg): 90.00 90.00 90.00
Sites, in units of the cell vectors:
Tl1 0.0000 0.0000 0.0000
Ni1 0.5000 0.5000 0.5000
P1 0.0000 0.5000 0.5000
P2 0.5000 0.0000 0.5000
O1 0.5000 0.5000 0.0000

Record 3
VASP calculation (PBE+U) on crystalline Tl2NiP2O6 at its relaxed geometry.

Summary:
total energy: -5.91 eV/atom
crystal system: trigonal

a b c (Å): 6.4083 6.4083 6.4083
angles (deg): 52.61 52.61 52.61
Sites, in units of the cell vectors:
Tl1 0.2228 0.2228 0.2228
Tl2 0.7772 0.7772 0.7772
Ni1 0.0000 0.0000 0.0000
P1 0.4317 0.4317 0.4317
P2 0.5683 0.5683 0.5683
O1 0.2547 0.2547 0.7095
O2 0.2547 0.7095 0.2547
O3 0.2905 0.7453 0.7453
O4 0.7095 0.2547 0.2547
O5 0.7453 0.2905 0.7453
O6 0.7453 0.7453 0.2905

Record 4
VASP calculation (PBE+U) on crystalline TlNiP2O at its relaxed geometry.

Summary:
energy above the most stable polymorph in this dataset: 24.87 kcal/mol of atoms
crystal system: tetragonal

a b c (Å): 5.1797 5.1797 4.0457
angles (deg): 90.00 90.00 90.00
Sites, in units of the cell vectors:
Tl1 0.0000 0.0000 0.0000
Ni1 0.5000 0.5000 0.5000
P1 0.0000 0.5000 0.0000
P2 0.5000 0.0000 0.0000
O1 0.0000 0.0000 0.5000

Record 5
VASP calculation (PBE+U) on crystalline TmNiP2O8 at its relaxed geometry.

Summary:
total energy: -6.93 eV/atom
crystal system: trigonal

a b c (Å): 5.3577 5.3577 5.9620
angles (deg): 90.00 90.00 120.00
Sites, in units of the cell vectors:
Tm1 0.0000 0.0000 0.0000
Ni1 0.0000 0.0000 0.5000
P1 0.3333 0.6667 0.6579
P2 0.6667 0.3333 0.3421
O1 0.1745 0.3489 0.7463
O2 0.1745 0.8255 0.7463
O3 0.3333 0.6667 0.4028
O4 0.3489 0.1745 0.2537
O5 0.6511 0.8255 0.7463
O6 0.6667 0.3333 0.5972
O7 0.8255 0.1745 0.2537
O8 0.8255 0.6511 0.2537

Record 6
VASP calculation (PBE+U) on crystalline VNi2PO6 at its relaxed geometry.

Summary:
total energy: -6.03 eV/atom
crystal system: tetragonal

a b c (Å): 5.1975 5.1975 4.1185
angles (deg): 90.00 90.00 90.00
Sites, in units of the cell vectors:
V1 0.0000 0.0000 0.0000
Ni1 0.0000 0.5000 0.3175
Ni2 0.5000 0.0000 0.3175
P1 0.5000 0.5000 0.9907
O1 0.0000 0.0000 0.5448
O2 0.2778 0.2778 0.1082
O3 0.2778 0.7222 0.1082
O4 0.5000 0.5000 0.6230
O5 0.7222 0.2778 0.1082
O6 0.7222 0.7222 0.1082

Record 7
VASP calculation (PBE+U) on crystalline VNiPO2 at its relaxed geometry.

Summary:
energy above the most stable polymorph in this dataset: 0.00 kcal/mol of atoms
crystal system: tetragonal

a b c (Å): 3.6403 3.6403 5.1412
angles (deg): 90.00 90.00 90.00
Sites, in units of the cell vectors:
V1 0.0000 0.0000 0.0000
Ni1 0.5000 0.5000 0.5000
P1 0.0000 0.0000 0.5000
O1 0.0000 0.5000 0.0000
O2 0.5000 0.0000 0.0000

Record 8
VASP calculation (PBE+U) on crystalline V3NiP6O24 at its relaxed geometry.

Summary:
total energy: -7.10 eV/atom
crystal system: trigonal

a b c (Å): 8.7300 8.7300 8.7300
angles (deg): 57.48 57.48 57.48
Sites, in units of the cell vectors:
V1 0.0000 0.0000 0.0000
V2 0.2166 0.2166 0.2166
V3 0.4964 0.4964 0.4964
Ni1 0.7147 0.7147 0.7147
P1 0.1069 0.8254 0.3871
P2 0.3308 0.6042 0.8904
P3 0.3871 0.1069 0.8254
P4 0.6042 0.8904 0.3308
P5 0.8254 0.3871 0.1069
P6 0.8904 0.3308 0.6042
O1 0.0874 0.2548 0.4524
O2 0.1146 0.8449 0.1955
O3 0.1629 0.8045 0.8910
O4 0.1712 0.9816 0.3461
O5 0.1955 0.1146 0.8449
O6 0.2548 0.4524 0.0874
O7 0.2682 0.6277 0.4447
O8 0.3461 0.1712 0.9816
O9 0.3555 0.5641 0.7245
O10 0.4447 0.2682 0.6277
O11 0.4524 0.0874 0.2548
O12 0.5166 0.5895 0.8792
O13 0.5453 0.9102 0.8401
O14 0.5641 0.7245 0.3555
O15 0.5895 0.8792 0.5166
O16 0.6277 0.4447 0.2682
O17 0.7245 0.3555 0.5641
O18 0.8045 0.8910 0.1629
O19 0.8401 0.5453 0.9102
O20 0.8449 0.1955 0.1146
O21 0.8792 0.5166 0.5895
O22 0.8910 0.1629 0.8045
O23 0.9102 0.8401 0.5453
O24 0.9816 0.3461 0.1712

Record 9
VASP calculation (PBE+U) on crystalline VNi5P6O24 at its relaxed geometry.

Summary:
total energy: -6.47 eV/atom
crystal system: trigonal

a b c (Å): 8.4600 8.4600 8.4600
angles (deg): 61.23 61.23 61.23
Sites, in units of the cell vectors:
V1 0.0000 0.0000 0.0000
Ni1 0.1460 0.1460 0.1460
Ni2 0.2857 0.2857 0.2857
Ni3 0.5070 0.5070 0.5070
Ni4 0.6472 0.6472 0.6472
Ni5 0.7855 0.7855 0.7855
P1 0.0929 0.6940 0.3934
P2 0.1947 0.5986 0.8897
P3 0.3934 0.0929 0.6940
P4 0.5986 0.8897 0.1947
P5 0.6940 0.3934 0.0929
P6 0.8897 0.1947 0.5986
O1 0.0536 0.6598 0.7914
O2 0.0554 0.1827 0.4116
O3 0.0847 0.8940 0.2265
O4 0.1322 0.7691 0.9639
O5 0.1519 0.5406 0.3146
O6 0.1827 0.4116 0.0554
O7 0.2265 0.0847 0.8940
O8 0.2456 0.6536 0.4706
O9 0.3146 0.1519 0.5406
O10 0.3981 0.5821 0.7513
O11 0.4116 0.0554 0.1827
O12 0.4706 0.2456 0.6536
O13 0.5400 0.8921 0.7202
O14 0.5406 0.3146 0.1519
O15 0.5821 0.7513 0.3981
O16 0.6536 0.4706 0.2456
O17 0.6598 0.7914 0.0536
O18 0.7202 0.5400 0.8921
O19 0.7513 0.3981 0.5821
O20 0.7691 0.9639 0.1322
O21 0.7914 0.0536 0.6598
O22 0.8921 0.7202 0.5400
O23 0.8940 0.2265 0.0847
O24 0.9639 0.1322 0.7691

Record 10
VASP calculation (PBE+U) on crystalline V2NiP2O10 at its relaxed geometry.

Summary:
energy above the most stable polymorph in this dataset: 3.45 kcal/mol of atoms
crystal system: monoclinic

a b c (Å): 6.7645 8.2021 9.4014
angles (deg): 90.00 133.35 90.00
Sites, in units of the cell vectors:
V1 0.0409 0.1368 0.1380
V2 0.0409 0.3632 0.6380
V3 0.9591 0.6368 0.3620
V4 0.9591 0.8632 0.8620
Ni1 0.0000 0.0000 0.5000
Ni2 0.0000 0.5000 0.0000
P1 0.4315 0.6904 0.7474
P2 0.4315 0.8096 0.2474
P3 0.5685 0.1904 0.7526
P4 0.5685 0.3096 0.2526
O1 0.0189 0.0714 0.2921
O2 0.0189 0.4286 0.7921
O3 0.2294 0.6944 0.0622
O4 0.2294 0.8056 0.5622
O5 0.2574 0.5252 0.6269
O6 0.2574 0.9748 0.1269
O7 0.2941 0.1777 0.7025
O8 0.2941 0.3223 0.2025
O9 0.4647 0.7236 0.9164
O10 0.4647 0.7764 0.4164
O11 0.5353 0.2236 0.5836
O12 0.5353 0.2764 0.0836
O13 0.7059 0.6777 0.7975
O14 0.7059 0.8223 0.2975
O15 0.7426 0.0252 0.8731
O16 0.7426 0.4748 0.3731
O17 0.7706 0.1944 0.4378
O18 0.7706 0.3056 0.9378
O19 0.9811 0.5714 0.2079
O20 0.9811 0.9286 0.7079

Record 11
VASP calculation (PBE+U) on crystalline VNiPO2 at its relaxed geometry.

Summary:
energy above the most stable polymorph in this dataset: 16.20 kcal/mol of atoms
crystal system: tetragonal

a b c (Å): 3.6690 3.6690 4.6298
angles (deg): 90.00 90.00 90.00
Sites, in units of the cell vectors:
V1 0.0000 0.0000 0.0000
Ni1 0.5000 0.5000 0.5000
P1 0.5000 0.5000 0.0000
O1 0.0000 0.5000 0.5000
O2 0.5000 0.0000 0.5000

Record 12
VASP calculation (PBE+U) on crystalline V2NiP3O12 at its relaxed geometry.

Summary:
total energy: -7.23 eV/atom
crystal system: trigonal

a b c (Å): 8.4688 8.4688 8.4688
angles (deg): 61.13 61.13 61.13
Sites, in units of the cell vectors:
V1 0.1421 0.1421 0.1421
V2 0.3579 0.3579 0.3579
V3 0.6421 0.6421 0.6421
V4 0.8579 0.8579 0.8579
Ni1 0.0000 0.0000 0.0000
Ni2 0.5000 0.5000 0.5000
P1 0.0439 0.7500 0.4561
P2 0.2500 0.5439 0.9561
P3 0.4561 0.0439 0.7500
P4 0.5439 0.9561 0.2500
P5 0.7500 0.4561 0.0439
P6 0.9561 0.2500 0.5439
O1 0.0032 0.8176 0.6140
O2 0.0587 0.9099 0.2574
O3 0.0901 0.7426 0.9413
O4 0.1140 0.3176 0.5032
O5 0.1824 0.3860 0.9968
O6 0.2426 0.5901 0.4413
O7 0.2574 0.0587 0.9099
O8 0.3176 0.5032 0.1140
O9 0.3860 0.9968 0.1824
O10 0.4099 0.5587 0.7574
O11 0.4413 0.2426 0.5901
O12 0.4968 0.8860 0.6824
O13 0.5032 0.1140 0.3176
O14 0.5587 0.7574 0.4099
O15 0.5901 0.4413 0.2426
O16 0.6140 0.0032 0.8176
O17 0.6824 0.4968 0.8860
O18 0.7426 0.9413 0.0901
O19 0.7574 0.4099 0.5587
O20 0.8176 0.6140 0.0032
O21 0.8860 0.6824 0.4968
O22 0.9099 0.2574 0.0587
O23 0.9413 0.0901 0.7426
O24 0.9968 0.1824 0.3860

Record 13
VASP calculation (PBE+U) on crystalline V2NiP2O10 at its relaxed geometry.

Summary:
energy above the most stable polymorph in this dataset: 0.13 kcal/mol of atoms
crystal system: monoclinic

a b c (Å): 7.3625 7.4046 7.3670
angles (deg): 90.00 119.61 90.00
Sites, in units of the cell vectors:
V1 0.2406 0.2257 0.0353
V2 0.2406 0.2743 0.5353
V3 0.7594 0.7257 0.4647
V4 0.7594 0.7743 0.9647
Ni1 0.5000 0.0000 0.5000
Ni2 0.5000 0.5000 0.0000
P1 0.2483 0.6236 0.2501
P2 0.2483 0.8764 0.7501
P3 0.7517 0.1236 0.2499
P4 0.7517 0.3764 0.7499
O1 0.0575 0.7465 0.1355
O2 0.0575 0.7535 0.6355
O3 0.2324 0.5080 0.4136
O4 0.2324 0.9920 0.9136
O5 0.2707 0.1628 0.2735
O6 0.2707 0.3372 0.7735
O7 0.2788 0.0018 0.5958
O8 0.2788 0.4982 0.0958
O9 0.4418 0.7487 0.8530
O10 0.4418 0.7513 0.3530
O11 0.5582 0.2487 0.6470
O12 0.5582 0.2513 0.1470
O13 0.7212 0.5018 0.9042
O14 0.7212 0.9982 0.4042
O15 0.7293 0.6628 0.2265
O16 0.7293 0.8372 0.7265
O17 0.7676 0.0080 0.0864
O18 0.7676 0.4920 0.5864
O19 0.9425 0.2465 0.3645
O20 0.9425 0.2535 0.8645